Record 1
YZr | GGA-PBE | optimized geometry

Results
calculated formation energy: 0.40 eV per atom
energy above the most stable polymorph in this dataset: 354 meV/atom
calculated volume: 226.1 Å³ per cell
energy: -7.105 eV/atom

```
YZr
1.0
-5.938 5.938 1.603
5.938 -5.938 1.603
5.938 5.938 -1.603
Y Zr
4 4
Cartesian
4.056 1.253 0.000 Y
4.685 -1.882 1.603 Y
1.253 7.820 0.000 Y
1.882 4.685 1.603 Y
9.991 0.981 0.000 Zr
0.981 1.885 0.000 Zr
4.957 4.053 1.603 Zr
-4.053 4.957 1.603 Zr
```

***

Record 2
YZr | GGA-PBE | optimized geometry

Results
calculated formation energy: 0.13 eV per atom
energy above the most stable polymorph in this dataset: 84 meV/atom
calculated volume: 108.2 Å³ per cell
energy: -7.374 eV/atom

```
YZr
1.0
5.278 0.000 0.000
0.000 1.671 6.133
0.000 -1.671 6.133
Y Zr
2 2
Cartesian
0.000 0.000 0.000 Y
0.000 0.000 3.155 Y
2.639 0.000 4.688 Zr
2.639 0.000 7.929 Zr
```

***

Record 3
YbZn | GGA-PBE | optimized geometry

Results
calculated formation energy: -0.11 eV per atom
calculated volume: 55.2 Å³ per cell
energy: -1.507 eV/atom

```
YbZn
1.0
0.000 3.023 3.023
3.023 0.000 3.023
3.023 3.023 0.000
Yb Zn
1 1
Cartesian
0.000 0.000 0.000 Yb
3.023 3.023 3.023 Zn
```

***

Record 4
YbZn6 | GGA-PBE | optimized geometry

Results
calculated formation energy: 0.20 eV per atom
calculated volume: 160.9 Å³ per cell
energy: -1.107 eV/atom

```
YbZn6
1.0
-3.426 3.426 3.426
3.426 -3.426 3.426
3.426 3.426 -3.426
Yb Zn
1 6
Cartesian
0.000 0.000 0.000 Yb
3.426 1.713 0.000 Zn
3.426 0.000 1.713 Zn
1.713 3.426 0.000 Zn
1.713 0.000 3.426 Zn
0.000 3.426 1.713 Zn
0.000 1.713 3.426 Zn
```

***

Record 5
YbZn11 | GGA-PBE | optimized geometry

Results
calculated formation energy: -0.18 eV per atom
calculated volume: 384.9 Å³ per cell
energy: -1.470 eV/atom

```
YbZn11
1.0
-5.312 5.312 3.410
5.312 -5.312 3.410
5.312 5.312 -3.410
Yb Zn
2 22
Cartesian
5.312 2.656 0.852 Yb
0.000 2.656 2.557 Yb
0.000 0.000 0.000 Zn
2.656 2.656 -1.705 Zn
2.656 -2.656 1.705 Zn
5.312 -2.656 2.557 Zn
4.023 -0.475 1.204 Zn
6.602 -0.475 1.204 Zn
2.181 1.367 0.500 Zn
8.444 1.367 0.500 Zn
4.023 4.837 -1.204 Zn
1.289 -0.475 2.205 Zn
2.181 3.945 0.500 Zn
3.131 -1.367 3.910 Zn
0.000 5.312 0.000 Zn
2.181 6.679 -0.500 Zn
3.131 1.367 2.909 Zn
4.023 5.787 1.204 Zn
1.289 0.475 4.614 Zn
-3.131 3.945 2.909 Zn
3.131 3.945 2.909 Zn
-1.289 5.787 2.205 Zn
1.289 5.787 2.205 Zn
0.000 7.968 0.852 Zn
```

***

Record 6
Yb6Zn | GGA-PBE | optimized geometry

Results
calculated formation energy: 1.01 eV per atom
calculated volume: 583.2 Å³ per cell
energy: -0.480 eV/atom

```
Yb6Zn
1.0
-5.263 5.263 5.263
5.263 -5.263 5.263
5.263 5.263 -5.263
Yb Zn
6 1
Cartesian
5.263 2.632 0.000 Yb
5.263 0.000 2.632 Yb
2.632 5.263 0.000 Yb
2.632 0.000 5.263 Yb
0.000 5.263 2.632 Yb
0.000 2.632 5.263 Yb
0.000 0.000 0.000 Zn
```

***

Record 7
Yb3Zr | GGA-PBE | optimized geometry

Results
calculated formation energy: 0.13 eV per atom
energy above the most stable polymorph in this dataset: 0 meV/atom
calculated volume: 241.4 Å³ per cell
energy: -3.152 eV/atom

```
Yb3Zr
1.0
7.073 0.000 0.000
-3.536 6.125 0.000
0.000 0.000 5.573
Yb Zr
6 2
Cartesian
0.000 2.115 1.393 Yb
-1.705 5.068 1.393 Yb
1.831 1.057 4.180 Yb
1.705 5.068 1.393 Yb
5.241 1.057 4.180 Yb
3.536 4.011 4.180 Yb
0.000 4.083 4.180 Zr
3.536 2.042 1.393 Zr
```

***

Record 8
Yb3Zr | GGA-PBE | optimized geometry

Results
calculated formation energy: 0.16 eV per atom
energy above the most stable polymorph in this dataset: 28 meV/atom
calculated volume: 120.8 Å³ per cell
energy: -3.124 eV/atom

```
Yb3Zr
1.0
0.000 3.924 3.924
3.924 0.000 3.924
3.924 3.924 0.000
Yb Zr
3 1
Cartesian
0.000 0.000 0.000 Yb
1.962 1.962 1.962 Yb
5.886 5.886 5.886 Yb
3.924 3.924 3.924 Zr
```

***

Record 9
Yb6Zr | GGA-PBE | optimized geometry

Results
calculated formation energy: 1.54 eV per atom
calculated volume: 275.2 Å³ per cell
energy: -0.987 eV/atom

```
Yb6Zr
1.0
-4.098 4.098 4.098
4.098 -4.098 4.098
4.098 4.098 -4.098
Yb Zr
6 1
Cartesian
4.098 2.049 0.000 Yb
4.098 0.000 2.049 Yb
2.049 4.098 0.000 Yb
2.049 0.000 4.098 Yb
0.000 4.098 2.049 Yb
0.000 2.049 4.098 Yb
0.000 0.000 0.000 Zr
```

***

Record 10
Zr4Zn | GGA-PBE | optimized geometry

Results
calculated formation energy: 0.50 eV per atom
energy above the most stable polymorph in this dataset: 558 meV/atom
calculated volume: 117.6 Å³ per cell
energy: -6.593 eV/atom

```
Zr4Zn
1.0
-2.005 2.005 7.312
2.005 -2.005 7.312
2.005 2.005 -7.312
Zr Zn
4 1
Cartesian
0.000 0.000 1.288 Zr
2.005 0.000 3.656 Zr
0.000 2.005 3.656 Zr
0.000 0.000 13.336 Zr
0.000 0.000 7.312 Zn
```

***

Record 11
Zr4Zn | GGA-PBE | optimized geometry

Results
calculated formation energy: 0.04 eV per atom
energy above the most stable polymorph in this dataset: 96 meV/atom
calculated volume: 213.0 Å³ per cell
energy: -7.055 eV/atom

```
Zr4Zn
1.0
-2.412 3.024 7.300
2.412 -3.024 7.300
2.412 3.024 -7.300
Zr Zn
8 2
Cartesian
0.000 0.000 0.000 Zr
0.000 0.002 2.957 Zr
2.412 0.002 4.344 Zr
2.412 1.512 1.422 Zr
0.000 3.024 0.000 Zr
0.000 1.512 5.878 Zr
0.000 3.022 2.957 Zr
2.412 3.022 4.344 Zr
2.412 1.512 -1.619 Zn
0.000 1.512 8.919 Zn
```

***

Record 12
ZrZn3 | GGA-PBE | optimized geometry

Results
calculated formation energy: -0.07 eV per atom
calculated volume: 68.9 Å³ per cell
energy: -3.164 eV/atom

```
ZrZn3
1.0
4.708 2.718 0.897
-4.708 2.718 0.897
0.000 -5.437 0.897
Zr Zn
1 3
Cartesian
0.000 0.000 0.000 Zr
-2.354 -1.359 0.897 Zn
-2.354 1.359 1.795 Zn
0.000 2.718 0.897 Zn
```